Below is Y2TlZn2 after structural relaxation, with properties calculated at the PBE level. Values from VASP.

Quantum ESPRESSO input file:
```
&SYSTEM
  ibrav = 0, nat = 5, ntyp = 3
/
ATOMIC_SPECIES
Y 88.91 Y.upf
Tl 204.38 Tl.upf
Zn 65.41 Zn.upf
CELL_PARAMETERS angstrom
-1.599 1.982 -3.443
-5.483 -1.742 -1.120
-4.414 3.575 1.444
ATOMIC_POSITIONS angstrom
Y -8.308 2.867 -2.481
Y -3.187 0.948 -0.637
Tl 0.000 0.000 0.000
Zn -5.967 0.817 -2.085
Zn -5.528 2.998 -1.033
```

Calculated values
SG ... No. 71
Total magnetization ... 0.00 μB per cell
E_tot ... -3.861 eV per atom
V ... 117 Å³/cell

***

Below is Y3TlZn after structural relaxation, with properties calculated at the PBE level. Values from VASP.

Quantum ESPRESSO input file:
```
&SYSTEM
  ibrav = 0, nat = 10, ntyp = 3
/
ATOMIC_SPECIES
Y 88.91 Y.upf
Tl 204.38 Tl.upf
Zn 65.41 Zn.upf
CELL_PARAMETERS angstrom
5.019 0.000 1.147
0.000 5.148 0.000
0.228 0.000 10.556
ATOMIC_POSITIONS angstrom
Y 3.851 1.287 2.197
Y 2.150 1.287 9.641
Y 2.999 1.287 5.925
Y 1.333 3.861 1.659
Y 4.651 3.861 10.250
Y 0.484 3.861 5.375
Tl 2.579 3.861 7.760
Tl 0.903 1.287 3.539
Zn 3.430 3.861 4.039
Zn 5.072 1.287 8.408
```

Calculated values
SG ... No. 63
Relative energy among the computed polymorphs ... 0.000 eV/f.u.
Total magnetization ... 0.23 μB per cell
E_tot ... -4.881 eV per atom
V ... 271 Å³/cell

***

Below is Y4TlZn3 after structural relaxation, with properties calculated at the PBE level. Values from VASP.

Quantum ESPRESSO input file:
```
&SYSTEM
  ibrav = 0, nat = 8, ntyp = 3
/
ATOMIC_SPECIES
Y 88.91 Y.upf
Tl 204.38 Tl.upf
Zn 65.41 Zn.upf
CELL_PARAMETERS angstrom
4.925 0.000 1.454
2.248 4.382 1.454
0.031 0.019 8.964
ATOMIC_POSITIONS angstrom
Y 6.257 3.823 6.007
Y 2.749 1.679 8.823
Y 0.946 0.578 5.865
Y 4.454 2.721 3.049
Tl 0.000 0.000 0.000
Zn 1.786 1.091 3.019
Zn 5.417 3.309 8.853
Zn 3.601 2.200 5.936
```

Calculated values
SG ... No. 166
Total magnetization ... 0.00 μB per cell
E_tot ... -4.367 eV per atom
V ... 193 Å³/cell

***

Below is Y3Tl4Zn2 after structural relaxation, with properties calculated at the PBE level. Values from VASP.

Quantum ESPRESSO input file:
```
&SYSTEM
  ibrav = 0, nat = 9, ntyp = 3
/
ATOMIC_SPECIES
Y 88.91 Y.upf
Tl 204.38 Tl.upf
Zn 65.41 Zn.upf
CELL_PARAMETERS angstrom
-4.551 -0.955 1.176
2.253 -3.895 -4.224
2.611 -2.108 8.389
ATOMIC_POSITIONS angstrom
Y -0.538 -3.355 4.973
Y 0.000 0.000 0.000
Y 0.851 -3.602 0.368
Tl -2.179 -2.230 -0.461
Tl 2.491 -4.727 5.803
Tl -0.767 -5.310 2.504
Tl 1.079 -1.648 2.838
Zn -1.592 -1.754 2.198
Zn 1.904 -5.204 3.144
```

Calculated values
SG ... No. 12
Total magnetization ... 0.00 μB per cell
E_tot ... -3.754 eV per atom
V ... 224 Å³/cell

***

no.,energy of formation (kJ/mol of formula units)
1,-141
2,-132
3,-279
4,-230